# Ho2P4O13 | Alexandria | PBEsol | optimized geometry
# **Energy relative to the elements, uncorrected**: -2.718 eV per atom
# **ΔE to the lowest computed polymorph**: 0 meV per atom
data_Ho2P4O13
_chemical_formula_sum 'Ho8 P16 O52'
_symmetry_space_group_name_H-M 'C 2 2 21'
_symmetry_Int_Tables_number 20
_cell_length_a 6.991
_cell_length_b 17.314
_cell_length_c 8.541
_cell_angle_alpha 90.00
_cell_angle_beta 90.00
_cell_angle_gamma 90.00
loop_
_symmetry_equiv_pos_as_xyz
'x,y,z'
'-x,-y,z+1/2'
'x,-y,-z'
'-x,y,-z+1/2'
'x+1/2,y+1/2,z'
'-x+1/2,-y+1/2,z+1/2'
'x+1/2,-y+1/2,-z'
'-x+1/2,y+1/2,-z+1/2'
loop_
_atom_site_label
_atom_site_fract_x
_atom_site_fract_y
_atom_site_fract_z
Ho1 0.250 0.146 0.149
P1 0.216 0.436 0.276
P2 0.240 0.160 0.501
O1 0.000 0.411 0.250
O2 0.077 0.158 0.381
O3 0.078 0.352 0.901
O4 0.201 0.084 0.607
O5 0.209 0.116 0.900
O6 0.237 0.479 0.701
O7 0.244 0.229 0.608